VASP calculation (PBE-GGA) on an optimized crystal structure of SrPaRuO6.

* ΔE_f (raw): -2435 meV/atom
* electronic total energy: -144.23 eV for the cell shown

Lattice parameters (Å, degrees): 5.5635 5.5635 10.6195 90.00 90.00 120.00
Space group P-31c (No. 163)
Unique sites:
Sr1 0.0000 0.0000 0.0000
Pa1 0.3333 0.6667 0.2500
Ru1 0.3333 0.6667 0.7500
O1 0.0257 0.3795 0.6464



VASP calculation (PBE-GGA) on an optimized crystal structure of LaAg2Ir.

* formation enthalpy at 0 K: -73.6 kJ/mol of formula units
* N(E_F): 3.8 states/eV per cell
* energy relative to the lowest polymorph listed for this composition: 0.070 eV per atom
* electronic total energy: -40.51 eV for the cell shown

Lattice parameters (Å, degrees): 3.946 4.018 11.183 90.00 90.00 90.00
Space group Amm2 (No. 38)
Unique sites:
La1 0.000 0.000 0.000
Ag1 0.000 0.000 0.727
Ag2 0.500 0.000 0.294
Ir1 0.500 0.000 0.553



VASP calculation (PBE-GGA) on an optimized crystal structure of LiPb5.

* formation enthalpy at 0 K: -19.2 kJ/mol of formula units
* N(E_F): 6.0 states/eV per cell
* energy relative to the lowest polymorph listed for this composition: 0.026 eV per atom
* electronic total energy: -41.31 eV for the cell shown

Lattice parameters (Å, degrees): 5.483 3.758 17.182 90.00 90.00 90.00
Space group Amm2 (No. 38)
Unique sites:
Li1 0.000 0.000 0.000
Pb1 0.000 0.000 0.337
Pb2 0.000 0.000 0.657
Pb3 0.500 0.000 0.208
Pb4 0.500 0.000 0.536
Pb5 0.500 0.000 0.878



VASP calculation (PBE-GGA) on an optimized crystal structure of MnVIn2Ir.

* formation enthalpy at 0 K: 352.4 kJ/mol of formula units
* N(E_F): 4.8 states/eV per cell
* electronic total energy: -28.97 eV for the cell shown

Lattice parameters (Å, degrees): 5.132 5.132 4.744 90.00 90.00 90.00
Space group P4/mmm (No. 123)
Unique sites:
Mn1 0.000 0.000 0.000
V1 0.500 0.500 0.000
In1 0.000 0.500 0.500
Ir1 0.500 0.500 0.500



VASP calculation (PBE-GGA) on an optimized crystal structure of TlGeSbS3.

* ΔE_f (raw): -279 meV/atom
* electronic total energy: -50.32 eV for the cell shown

Lattice parameters (Å, degrees): 8.887 3.892 9.640 90.00 94.51 90.00
Space group P2_1/m (No. 11)
Unique sites:
Tl1 0.150 0.250 0.222
Ge1 0.270 0.750 0.960
Sb1 0.407 0.250 0.648
S1 0.145 0.250 0.839
S2 0.330 0.750 0.438
S3 0.495 0.750 0.832



VASP calculation (PBE-GGA) on an optimized crystal structure of Ac6IrRh2Cl2.

* N(E_F): 13.5 states/eV per cell
* ΔE_f (raw): -1058 meV/atom
* electronic total energy: -127.10 eV for the cell shown

Lattice parameters (Å, degrees): 7.549 13.101 8.090 90.00 108.15 90.00
Space group C2/m (No. 12)
Unique sites:
Ac1 0.235 0.000 0.208
Ac2 0.237 0.335 0.209
Ir1 0.000 0.500 0.000
Rh1 0.000 0.170 0.000
Cl1 0.000 0.333 0.500



VASP calculation (PBE-GGA) on an optimized crystal structure of LaTa2Os.

* formation enthalpy at 0 K: 104.6 kJ/mol of formula units
* N(E_F): 7.9 states/eV per cell
* energy relative to the lowest polymorph listed for this composition: 0.182 eV per atom
* electronic total energy: -77.56 eV for the cell shown

Lattice parameters (Å, degrees): 3.117 5.147 10.309 90.00 90.00 90.00
Space group Immm (No. 71)
Unique sites:
La1 0.000 0.000 0.000
Ta1 0.000 0.500 0.217
Os1 0.000 0.000 0.500



VASP calculation (PBE-GGA) on an optimized crystal structure of Sr2HgOs.

* formation enthalpy at 0 K: 208.0 kJ/mol of formula units
* N(E_F): 5.3 states/eV per cell
* electronic total energy: -50.96 eV for the cell shown

Lattice parameters (Å, degrees): 7.370 7.370 7.370 90.00 90.00 90.00
Space group F-43m (No. 216)
Unique sites:
Sr1 0.000 0.000 0.000
Sr2 0.250 0.250 0.250
Hg1 0.250 0.250 0.750
Os1 0.000 0.000 0.500